A relaxed AlFeTeO6 crystal. Source: the Alexandria database, functional PBE+U.

Values from the calculation:
V (Å³ per atom): 10.58
Crystal system: trigonal
Final energy (eV per atom): -6.351
Fermi-level density of states (states/eV per cell): 0.0

```
data_AlFeTeO6
_chemical_formula_sum 'Al2 Fe2 Te2 O12'
_cell_length_a 4.9792
_cell_length_b 4.9792
_cell_length_c 8.8740
_cell_angle_alpha 90.00
_cell_angle_beta 90.00
_cell_angle_gamma 120.00
_space_group_name_H-M_alt 'P -3 1 c'
_space_group_IT_number 163
_space_group_name_Hall '-P 3 2c'
loop_
_atom_site_label
_atom_site_type_symbol
_atom_site_fract_x
_atom_site_fract_y
_atom_site_fract_z
Al1 Al 0.3333 0.6667 0.2500
Fe1 Fe 0.0000 0.0000 0.0000
Te1 Te 0.3333 0.6667 0.7500
O1 O 0.0048 0.3498 0.1321
```